Entry 1:
Computed, not measured: an optimized crystal structure of MnNbN2 at the PBE-GGA level of DFT.

The density of states at the Fermi level comes out at 0.378 states/eV/atom. The value obtained for the total magnetic moment is 3.9 μB per formula unit. As for the crystal system: tetragonal. The formation energy from raw total energies is -0.53 eV/atom. Its space group is I-42d (122). Its energy is -0.6986 Ry/atom.

Lattice parameters (Å, degrees): 4.6765 4.6765 5.7678 66.08 66.08 90.00
Site moments in Bohr magnetons follow the coordinates.
Fractional positions:
N1 0.1197 0.6250 0.2500  0.02
N2 0.6303 0.1250 0.2500  0.02
Mn1 0.2500 0.7500 0.5000  3.60
N3 0.8750 0.8803 0.7500  0.02
Mn2 0.5000 0.5000 0.0000  3.60
Nb1 0.7500 0.2500 0.5000  0.12
N4 0.3750 0.3697 0.7500  0.02
Nb2 0.0000 0.0000 0.0000  0.12



Entry 2:
Computed, not measured: an optimized crystal structure of Mn5Nb7N2 at the PBE-GGA level of DFT.

The density of states at the Fermi level comes out at 0.649 states/eV/atom. The value obtained for the total magnetic moment is 5.4 μB per formula unit. As for the crystal system: orthorhombic. The formation energy from raw total energies is -0.44 eV/atom. Its space group is Imma (74). Its energy is -0.7304 Ry/atom.

Lattice parameters (Å, degrees): 8.1838 8.2104 8.1401 90.00 60.18 120.11
Site moments in Bohr magnetons follow the coordinates.
Fractional positions:
Nb1 0.7467 0.1833 0.1823  -0.12
Mn1 0.5836 0.7918 0.8078  1.20
Mn2 0.5836 0.7918 0.1086  1.20
Mn3 0.5000 0.5000 0.0000  0.99
N1 0.0000 0.5000 0.5000  0.00
Nb2 0.2533 0.4366 0.8177  -0.12
Nb3 0.0000 0.0000 0.5000  -0.23
Mn4 0.1026 0.8851 0.1987  1.46
Mn5 0.5000 0.0000 0.0000  0.99
Nb4 0.7467 0.5634 0.1823  -0.12
N2 0.0000 0.5000 0.0000  0.00
Nb5 0.7467 0.5634 0.5709  -0.12
Nb6 0.7467 0.1833 0.5709  -0.12
Nb7 0.2533 0.8167 0.8177  -0.12
Nb8 0.1434 0.5717 0.1783  -0.15
N3 0.5000 0.5000 0.5000  0.00
Nb9 0.2533 0.4366 0.4291  -0.12
Mn6 0.4164 0.2082 0.8914  1.20
Mn7 0.8974 0.7825 0.8013  1.46
Mn8 0.4164 0.2082 0.1922  1.20
Nb10 0.0000 0.0000 0.0000  -0.23
Nb11 0.6240 0.8120 0.4380  -0.06
Mn9 0.8974 0.1149 0.8013  1.46
Nb12 0.8566 0.4283 0.8217  -0.15
Mn10 0.1026 0.2175 0.1987  1.46
Nb13 0.2533 0.8167 0.4291  -0.12
N4 0.5000 0.0000 0.5000  0.00
Nb14 0.3760 0.1880 0.5620  -0.06



Entry 3:
Computed, not measured: an optimized crystal structure of MnNbN2 at the PBE-GGA level of DFT.

The density of states at the Fermi level comes out at 0.579 states/eV/atom. The value obtained for the total magnetic moment is 2.0 μB per formula unit. As for the crystal system: cubic. The formation energy from raw total energies is -0.06 eV/atom. Its space group is Fm-3m (225). Its energy is -0.6636 Ry/atom.

Lattice parameters (Å, degrees): 3.7696 3.7696 3.7696 60.00 60.00 60.00
Site moments in Bohr magnetons follow the coordinates.
Fractional positions:
Mn1 0.0000 0.0000 0.0000  2.23
N1 0.2500 0.2500 0.2500  -0.08
Nb1 0.5000 0.5000 0.5000  -0.06
N2 0.7500 0.7500 0.7500  -0.08



Entry 4:
Computed, not measured: an optimized crystal structure of MnNbN3 at the PBE-GGA level of DFT.

The density of states at the Fermi level comes out at 1.287 states/eV/atom. The value obtained for the total magnetic moment is 0.0 μB per formula unit. As for the crystal system: cubic. The formation energy from raw total energies is 0.48 eV/atom. Its space group is Pm-3m (221). Its energy is -0.6145 Ry/atom.

Lattice parameters (Å, degrees): 3.6310 3.6310 3.6310 90.00 90.00 90.00
Fractional positions:
N1 0.0000 0.5000 0.0000
Mn1 0.0000 0.0000 0.0000
Nb1 0.5000 0.5000 0.5000
N2 0.0000 0.0000 0.5000
N3 0.5000 0.0000 0.0000



Entry 5:
Computed, not measured: an optimized crystal structure of Mn5Nb3N12 at the PBE-GGA level of DFT.

The density of states at the Fermi level comes out at 0.538 states/eV/atom. The value obtained for the total magnetic moment is 8.6 μB per formula unit. As for the crystal system: cubic. The formation energy from raw total energies is -0.22 eV/atom. Its space group is Ia-3d (230). Its energy is -0.6629 Ry/atom.

Lattice parameters (Å, degrees): 10.1764 10.1764 10.1764 109.47 109.47 109.47
Site moments in Bohr magnetons follow the coordinates.
Fractional positions:
Nb1 0.3750 0.6250 0.2500  0.13
N1 0.0899 0.9084 0.3757  -0.02
N2 0.8185 0.9084 0.0327  -0.02
N3 0.2858 0.4101 0.8185  -0.02
N4 0.0916 0.9101 0.1243  -0.02
Mn1 0.0000 0.5000 0.5000  2.59
Mn2 0.2500 0.3750 0.6250  0.99
Mn3 0.3750 0.1250 0.7500  0.99
N5 0.4673 0.6815 0.0916  -0.02
N6 0.3757 0.4084 0.0899  -0.02
Nb2 0.6250 0.3750 0.7500  0.13
Nb3 0.2500 0.6250 0.8750  0.13
N7 0.5327 0.2142 0.1243  -0.02
Mn4 0.5000 0.5000 0.0000  2.59
N8 0.6243 0.0327 0.2142  -0.02
N9 0.3185 0.5327 0.4084  -0.02
Nb4 0.7500 0.8750 0.6250  0.13
Mn5 0.0000 0.0000 0.0000  2.59
N10 0.6243 0.5916 0.9101  -0.02
N11 0.7142 0.1243 0.0327  -0.02
Nb5 0.8750 0.7500 0.1250  0.13
N12 0.8757 0.2858 0.4673  -0.02
N13 0.5899 0.7142 0.6815  -0.02
N14 0.5899 0.8757 0.4084  -0.02
Mn6 0.8750 0.6250 0.7500  0.99
N15 0.6815 0.4673 0.5916  -0.02
Mn7 0.0000 0.5000 0.0000  2.59
N16 0.1243 0.4101 0.0916  -0.02
Mn8 0.6250 0.8750 0.2500  0.99
N17 0.9084 0.8185 0.5327  -0.02
N18 0.2142 0.5327 0.6243  -0.02
N19 0.2858 0.8757 0.9673  -0.02
N20 0.7858 0.3185 0.9101  -0.02
Nb6 0.2500 0.1250 0.3750  0.13
Nb7 0.1250 0.2500 0.8750  0.13
N21 0.9101 0.0916 0.6243  -0.02
N22 0.5916 0.6243 0.4101  -0.02
N23 0.1815 0.0916 0.9673  -0.02
Mn9 0.5000 0.0000 0.5000  2.59
N24 0.7858 0.4673 0.3757  -0.02
Mn10 0.2500 0.8750 0.1250  0.99
N25 0.9101 0.8185 0.7858  -0.02
N26 0.8185 0.9101 0.2858  -0.02
N27 0.0327 0.4084 0.8185  -0.02
N28 0.1815 0.0899 0.7142  -0.02
Mn11 0.7500 0.1250 0.8750  0.99
N29 0.1243 0.7142 0.5327  -0.02
Mn12 0.1250 0.7500 0.3750  0.99
N30 0.0327 0.6243 0.7142  -0.02
Mn13 0.7500 0.6250 0.3750  0.99
N31 0.7142 0.5899 0.1815  -0.02
N32 0.0916 0.1815 0.4673  -0.02
Nb8 0.3750 0.7500 0.6250  0.13
N33 0.4084 0.3757 0.5899  -0.02
N34 0.9673 0.5916 0.1815  -0.02
N35 0.5916 0.9673 0.6815  -0.02
Nb9 0.7500 0.3750 0.1250  0.13
Mn14 0.3750 0.2500 0.1250  0.99
N36 0.0899 0.1815 0.2142  -0.02
Mn15 0.5000 0.5000 0.5000  2.59
Mn16 0.0000 0.0000 0.5000  2.59
Mn17 0.5000 0.0000 0.0000  2.59
N37 0.4101 0.1243 0.5916  -0.02
N38 0.6815 0.2142 0.5899  -0.02
N39 0.4101 0.2858 0.3185  -0.02
N40 0.5327 0.3185 0.9084  -0.02
Mn18 0.6250 0.7500 0.8750  0.99
N41 0.4084 0.0327 0.3185  -0.02
Nb10 0.6250 0.2500 0.3750  0.13
Nb11 0.8750 0.1250 0.2500  0.13
Mn19 0.8750 0.2500 0.6250  0.99
N42 0.8757 0.5899 0.9084  -0.02
N43 0.3185 0.7858 0.4101  -0.02
N44 0.3757 0.9673 0.7858  -0.02
N45 0.9084 0.0899 0.8757  -0.02
N46 0.9673 0.3757 0.2858  -0.02
Mn20 0.1250 0.3750 0.2500  0.99
N47 0.2142 0.6815 0.0899  -0.02
Nb12 0.1250 0.8750 0.7500  0.13
N48 0.4673 0.7858 0.8757  -0.02



Entry 6:
Computed, not measured: an optimized crystal structure of MnNbN2 at the PBE-GGA level of DFT.

The density of states at the Fermi level comes out at 0.368 states/eV/atom. The value obtained for the total magnetic moment is 3.9 μB per formula unit. As for the crystal system: trigonal. The formation energy from raw total energies is -0.41 eV/atom. Its space group is R-3m (166). Its energy is -0.6893 Ry/atom.

Lattice parameters (Å, degrees): 6.2747 6.2747 6.2747 29.19 29.19 29.19
Site moments in Bohr magnetons follow the coordinates.
Fractional positions:
N1 0.1057 0.1057 0.1057  0.00
Nb1 0.5000 0.5000 0.5000  0.12
Mn1 0.0000 0.0000 0.0000  3.53
N2 0.8943 0.8943 0.8943  0.00



Entry 7:
Computed, not measured: an optimized crystal structure of NdMnNb2N4 at the PBE-GGA level of DFT.

The density of states at the Fermi level comes out at 0.461 states/eV/atom. The value obtained for the total magnetic moment is 0.6 μB per formula unit. As for the crystal system: orthorhombic. The formation energy from raw total energies is -0.94 eV/atom. Its space group is Cmcm (63). Its energy is -0.6881 Ry/atom.

Lattice parameters (Å, degrees): 3.1433 5.7354 10.8951 90.00 90.00 105.90
Site moments in Bohr magnetons follow the coordinates.
Fractional positions:
N1 0.4418 0.8836 0.7500  -0.01
Nd1 0.8940 0.7880 0.2500  0.01
Nb1 0.6313 0.2626 0.0553  -0.04
N2 0.7300 0.4600 0.6132  0.01
Nb2 0.3687 0.7374 0.9447  -0.04
N3 0.2700 0.5400 0.1132  0.01
Nb3 0.6313 0.2626 0.4447  -0.04
N4 0.2700 0.5400 0.3868  0.01
N5 0.0000 0.0000 0.0000  0.01
N6 0.7300 0.4600 0.8868  0.01
Mn1 0.8413 0.6826 0.7500  0.63
Mn2 0.1587 0.3174 0.2500  0.63
Nb4 0.3687 0.7374 0.5553  -0.04
N7 0.5582 0.1164 0.2500  -0.01
Nd2 0.1060 0.2120 0.7500  0.01
N8 0.0000 0.0000 0.5000  0.01



Entry 8:
Computed, not measured: an optimized crystal structure of Nd2MnNbN5 at the PBE-GGA level of DFT.

The density of states at the Fermi level comes out at 0.361 states/eV/atom. The value obtained for the total magnetic moment is 1.2 μB per formula unit. As for the crystal system: orthorhombic. The formation energy from raw total energies is -0.95 eV/atom. Its space group is Cmc2_1 (36). Its energy is -0.6449 Ry/atom.

Lattice parameters (Å, degrees): 3.2967 7.2922 10.1761 90.00 90.00 103.06
Site moments in Bohr magnetons follow the coordinates.
Fractional positions:
N1 0.5000 0.9999 0.2841  0.02
N2 0.6996 0.3991 0.1590  0.01
Nd1 0.1298 0.2596 0.3233  0.02
Nb1 0.7941 0.5883 0.5235  -0.03
Nd2 0.8702 0.7404 0.8233  0.02
Nd3 0.8806 0.7613 0.1919  0.03
Nd4 0.1194 0.2387 0.6919  0.03
N3 0.5000 0.0001 0.7841  0.02
Nb2 0.2059 0.4117 0.0235  -0.03
N4 0.3004 0.6009 0.6590  0.01
N5 0.6764 0.3529 0.8800  0.01
Mn1 0.4515 0.9031 0.4423  1.11
Mn2 0.5485 0.0969 0.9423  1.11
N6 0.3236 0.6471 0.3800  0.01
N7 0.9666 0.9332 0.5128  -0.05
N8 0.0334 0.0668 0.0128  -0.05
N9 0.3403 0.6806 0.0071  0.00
N10 0.6597 0.3194 0.5071  0.00